VASP calculation (PBE-GGA) on a relaxed structure of MgZrSc5.

Summary:
As for the raw total energy: -5.60 eV per atom.

a = 5.1478 Å, b = 5.1478 Å, c = 6.7953 Å
α = 90.00°, β = 90.00°, γ = 90.00°
Space group P4/mmm (No. 123)
Symmetry-distinct sites (fractional):
Mg (0.0000, 0.0000, 0.0000) [1 per cell]
Zr (0.0000, 0.0000, 0.5000) [1 per cell]
Sc (0.0000, 0.5000, 0.2739) [4 per cell]
Sc (0.5000, 0.5000, 0.0000) [1 per cell]

***

VASP calculation (PBE-GGA) on a relaxed structure of Ba2CaSb2.

Summary:
The value obtained for the raw formation energy is -0.92 eV/atom.

a = 9.0989 Å, b = 9.0989 Å, c = 4.7601 Å
α = 90.00°, β = 90.00°, γ = 90.00°
Space group P4/mbm (No. 127)
Symmetry-distinct sites (fractional):
Ba (0.1354, 0.3646, 0.0000) [4 per cell]
Ca (0.0000, 0.0000, 0.5000) [2 per cell]
Sb (0.1718, 0.6718, 0.5000) [4 per cell]

***

Listing total magnetic moment for the structures above in their given order: 0.0004 0.0000 μB/atom.
Listing Fermi-level density of states for the structures above in their given order: 1.486 0.075 states/eV/atom.